Record 1
Computed, not measured: a relaxed structure of TbNdSmTl at the PBE level of DFT.

The structure belongs to space group Pmmm (No. 47); the cell edges are 4.893, 4.926 and 4.991 Å and the angles 90.00°, 90.00° and 90.00°. The inequivalent atoms are Tb at (0.000, 0.000, 0.000), Nd at (0.500, 0.000, 0.500), Sm at (0.000, 0.500, 0.500) and Tl at (0.500, 0.500, 0.000).

The polymorph energy (0 for the lowest one) comes out at 0.000 eV/f.u. The crystal system is orthorhombic.


Record 2
Computed, not measured: a relaxed structure of Tb3Nd6Sm2Tl at the PBE level of DFT.

The structure belongs to space group C2/m (No. 12); the cell edges are 6.231, 10.825 and 11.922 Å and the angles 90.00°, 100.16° and 90.00°. The inequivalent atoms are Tb at (0.000, 0.000, 0.000), Tb at (0.000, 0.332, 0.000), Nd at (0.243, 0.500, 0.249), Nd at (0.246, 0.337, 0.749), Sm at (0.000, 0.166, 0.500) and Tl at (0.000, 0.500, 0.500).

The crystal system is monoclinic.


Record 3
Computed, not measured: a relaxed structure of Tb2NdSmTl4 at the PBE level of DFT.

The structure belongs to space group R-3m (No. 166, hexagonal axes); the cell edges are 5.4384, 5.4384 and 26.6750 Å and the angles 90.00°, 90.00° and 120.00°. The inequivalent atoms are Tb at (0.0000, 0.0000, 0.2499), Nd at (0.0000, 0.0000, 0.0000), Sm at (0.0000, 0.0000, 0.5000), Tl at (0.0000, 0.0000, 0.1255) and Tl at (0.0000, 0.0000, 0.3755).

The crystal system is trigonal.


Record 4
Computed, not measured: a relaxed structure of Tb6Nd2Sm3Tl at the PBE level of DFT.

The structure belongs to space group C2/m (No. 12); the cell edges are 6.162, 10.682 and 11.832 Å and the angles 90.00°, 100.07° and 90.00°. The inequivalent atoms are Tb at (0.245, 0.000, 0.251), Tb at (0.246, 0.164, 0.748), Nd at (0.000, 0.334, 0.500), Sm at (0.000, 0.167, 0.000), Sm at (0.000, 0.500, 0.000) and Tl at (0.000, 0.000, 0.500).

The crystal system is monoclinic.


Number 1: DOS(E_F) 6.5 states/eV per cell, E_form -0.19 eV/atom. Number 2: DOS(E_F) 27.8 states/eV per cell, E_form -0.02 eV/atom. Number 3: DOS(E_F) 19.5 states/eV per cell, E_form -0.37 eV/atom. Number 4: DOS(E_F) 32.3 states/eV per cell, E_form -0.03 eV/atom.